Computed, not measured: a geometry-optimized La2Y5Tm3 structure at the PBE level of DFT.

```
data_La2Y5Tm3
_cell_length_a 10.689
_cell_length_b 16.339
_cell_length_c 9.292
_cell_angle_alpha 90.00
_cell_angle_beta 125.07
_cell_angle_gamma 90.00
_space_group_name_H-M_alt 'C 1 2/c 1'
_space_group_IT_number 15
loop_
_space_group_symop_operation_xyz
'x,y,z'
'-x,-y,-z'
'-x,y,-z+1/2'
'x,-y,z+1/2'
'x+1/2,y+1/2,z'
'-x+1/2,-y+1/2,-z'
'-x+1/2,y+1/2,-z+1/2'
'x+1/2,-y+1/2,z+1/2'
loop_
_atom_site_label
_atom_site_fract_x
_atom_site_fract_y
_atom_site_fract_z
_atom_site_occupancy
La1 0.142 0.125 0.044 1
Y1 0.000 0.229 0.250 1
Y2 0.000 0.275 0.750 1
Y3 0.000 0.472 0.750 1
Y4 0.236 0.383 0.230 1
Tm1 0.000 0.027 0.250 1
Tm2 0.155 0.379 0.548 1
```

Its volume is 1328.3 Å³/cell. As for the total energy: -0.19733 hartree per atom. For the energy of formation, the calculation gives 18.3 kJ per mole of atoms. The value obtained for the total magnetization is 0.000 μB per formula unit.



Computed, not measured: a geometry-optimized Sr2LiCuAu6 structure at the PBE level of DFT.

```
data_Sr2LiCuAu6
_cell_length_a 12.769
_cell_length_b 5.551
_cell_length_c 8.956
_cell_angle_alpha 90.00
_cell_angle_beta 132.51
_cell_angle_gamma 90.00
_space_group_name_H-M_alt 'C 1 2/m 1'
_space_group_IT_number 12
loop_
_space_group_symop_operation_xyz
'x,y,z'
'-x,-y,-z'
'-x,y,-z'
'x,-y,z'
'x+1/2,y+1/2,z'
'-x+1/2,-y+1/2,-z'
'-x+1/2,y+1/2,-z'
'x+1/2,-y+1/2,z'
loop_
_atom_site_label
_atom_site_fract_x
_atom_site_fract_y
_atom_site_fract_z
_atom_site_occupancy
Sr1 0.249 0.000 0.290 1
Li1 0.000 0.000 0.500 1
Cu1 0.000 0.500 0.000 1
Au1 0.001 0.251 0.750 1
Au2 0.250 0.000 0.889 1
```

Its volume is 468.0 Å³/cell. As for the total energy: -0.12409 hartree per atom. For the energy of formation, the calculation gives -45.6 kJ per mole of atoms. The value obtained for the total magnetization is 0.000 μB per formula unit.



Computed, not measured: a geometry-optimized KNaPd structure at the PBE level of DFT.

```
data_KNaPd
_cell_length_a 5.3147
_cell_length_b 5.3147
_cell_length_c 3.1768
_cell_angle_alpha 90.00
_cell_angle_beta 90.00
_cell_angle_gamma 120.00
_space_group_name_H-M_alt 'P 3 m 1'
_space_group_IT_number 156
loop_
_space_group_symop_operation_xyz
'x,y,z'
'-y,x-y,z'
'-x+y,-x,z'
'-y,-x,z'
'-x+y,y,z'
'x,x-y,z'
loop_
_atom_site_label
_atom_site_fract_x
_atom_site_fract_y
_atom_site_fract_z
_atom_site_occupancy
K1 0.0000 0.0000 0.0000 1
Na1 0.3333 0.6667 0.3535 1
Pd1 0.6667 0.3333 0.5933 1
```

Its volume is 77.7 Å³/cell. As for the total energy: -0.08900 hartree per atom. For the energy of formation, the calculation gives 11.0 kJ per mole of atoms. The value obtained for the total magnetization is 0.000 μB per formula unit.



Computed, not measured: a geometry-optimized TlCuSiTe3 structure at the PBE level of DFT.

```
data_TlCuSiTe3
_cell_length_a 9.397
_cell_length_b 4.077
_cell_length_c 9.666
_cell_angle_alpha 90.00
_cell_angle_beta 110.45
_cell_angle_gamma 90.00
_space_group_name_H-M_alt 'P 1 21/m 1'
_space_group_IT_number 11
loop_
_space_group_symop_operation_xyz
'x,y,z'
'-x,-y,-z'
'-x,y+1/2,-z'
'x,-y+1/2,z'
loop_
_atom_site_label
_atom_site_fract_x
_atom_site_fract_y
_atom_site_fract_z
_atom_site_occupancy
Tl1 0.193 0.250 0.239 1
Cu1 0.063 0.250 0.572 1
Si1 0.336 0.750 0.858 1
Te1 0.137 0.250 0.863 1
Te2 0.233 0.750 0.555 1
Te3 0.463 0.750 0.153 1
```

Its volume is 347.0 Å³/cell. As for the total energy: -0.13331 hartree per atom. The value obtained for the uncorrected formation energy is -0.076 eV/atom. The value obtained for the total magnetization is 0.000 μB per formula unit.



Computed, not measured: a geometry-optimized KTi3Sn structure at the PBE level of DFT.

```
data_KTi3Sn
_cell_length_a 4.578
_cell_length_b 4.578
_cell_length_c 4.578
_cell_angle_alpha 90.00
_cell_angle_beta 90.00
_cell_angle_gamma 90.00
_space_group_name_H-M_alt 'P m -3 m'
_space_group_IT_number 221
_space_group_name_Hall '-P 4 2 3'
loop_
_atom_site_label
_atom_site_fract_x
_atom_site_fract_y
_atom_site_fract_z
_atom_site_occupancy
K1 0.000 0.000 0.000 1
Ti1 0.000 0.000 0.500 1
Sn1 0.500 0.500 0.500 1
```

Its volume is 96.0 Å³/cell. As for the total energy: -0.14912 hartree per atom. For the energy of formation, the calculation gives 164.0 kJ per mole of atoms. The value obtained for the total magnetization is 1.770 μB per formula unit.



Computed, not measured: a geometry-optimized MnGeCN structure at the PBE level of DFT.

```
data_MnGeCN
_cell_length_a 5.408
_cell_length_b 3.112
_cell_length_c 5.560
_cell_angle_alpha 90.00
_cell_angle_beta 108.94
_cell_angle_gamma 90.00
_space_group_name_H-M_alt 'C 1 m 1'
_space_group_IT_number 8
loop_
_space_group_symop_operation_xyz
'x,y,z'
'x,-y,z'
'x+1/2,y+1/2,z'
'x+1/2,-y+1/2,z'
loop_
_atom_site_label
_atom_site_fract_x
_atom_site_fract_y
_atom_site_fract_z
_atom_site_occupancy
Mn1 0.000 0.000 0.000 1
Ge1 0.151 0.000 0.453 1
C1 0.353 0.000 0.062 1
N1 0.370 0.500 0.607 1
```

Its volume is 88.5 Å³/cell. As for the total energy: -0.27687 hartree per atom. The value obtained for the uncorrected formation energy is 0.300 eV/atom. The value obtained for the total magnetization is 0.741 μB per formula unit.